# LiCa2Hg2 GGA-PBEsol optimized geometry
data_LiCa2Hg2
_chemical_formula_sum 'Li2 Ca4 Hg4'
_symmetry_space_group_name_H-M 'P 4/m b m'
_symmetry_Int_Tables_number 127
_symmetry_space_group_name_Hall '-P 4 2ab'
_cell_length_a 7.805
_cell_length_b 7.805
_cell_length_c 4.370
_cell_angle_alpha 90.00
_cell_angle_beta 90.00
_cell_angle_gamma 90.00
loop_
_atom_site_label
_atom_site_type_symbol
_atom_site_fract_x
_atom_site_fract_y
_atom_site_fract_z
Li1 Li 0.000 0.000 0.000
Ca1 Ca 0.165 0.335 0.500
Hg1 Hg 0.138 0.638 0.000
# DOS(E_F): 6.490 states/eV/cell
# E_tot: -19.33 eV for the cell shown

# HgTeAu2 GGA-PBEsol optimized geometry
data_HgTeAu2
_chemical_formula_sum 'Hg2 Te2 Au4'
_symmetry_space_group_name_H-M 'C m m m'
_symmetry_Int_Tables_number 65
_symmetry_space_group_name_Hall '-C 2 2'
_cell_length_a 3.577
_cell_length_b 5.222
_cell_length_c 8.939
_cell_angle_alpha 90.00
_cell_angle_beta 90.00
_cell_angle_gamma 90.00
loop_
_atom_site_label
_atom_site_type_symbol
_atom_site_fract_x
_atom_site_fract_y
_atom_site_fract_z
Hg1 Hg 0.000 0.000 0.000
Te1 Te 0.000 0.000 0.500
Au1 Au 0.000 0.500 0.239
# DOS(E_F): 3.203 states/eV/cell
# E_tot: -22.10 eV for the cell shown
# Energy relative to the lowest polymorph listed for this composition: 0.000 eV per atom
# Uncorrected formation energy: 0.891 eV per formula unit

# TlCSeBr2 GGA-PBEsol optimized geometry
data_TlCSeBr2
_chemical_formula_sum 'Tl1 C1 Se1 Br2'
_symmetry_space_group_name_H-M 'P 4/m m m'
_symmetry_Int_Tables_number 123
_symmetry_space_group_name_Hall '-P 4 2'
_cell_length_a 5.445
_cell_length_b 5.445
_cell_length_c 5.465
_cell_angle_alpha 90.00
_cell_angle_beta 90.00
_cell_angle_gamma 90.00
loop_
_atom_site_label
_atom_site_type_symbol
_atom_site_fract_x
_atom_site_fract_y
_atom_site_fract_z
Tl1 Tl 0.000 0.000 0.000
C1 C 0.500 0.500 0.500
Se1 Se 0.000 0.000 0.500
Br1 Br 0.000 0.500 0.000
# DOS(E_F): 5.242 states/eV/cell
# E_tot: -11.73 eV for the cell shown
# Uncorrected formation energy: 8.138 eV per formula unit

# SrInRu2 GGA-PBEsol optimized geometry
data_SrInRu2
_chemical_formula_sum 'Sr1 In1 Ru2'
_symmetry_space_group_name_H-M 'P 4 m m'
_symmetry_Int_Tables_number 99
_cell_length_a 2.981
_cell_length_b 2.981
_cell_length_c 8.602
_cell_angle_alpha 90.00
_cell_angle_beta 90.00
_cell_angle_gamma 90.00
loop_
_symmetry_equiv_pos_as_xyz
'x,y,z'
'-y,x,z'
'-x,-y,z'
'y,-x,z'
'-x,y,z'
'y,x,z'
'x,-y,z'
'-y,-x,z'
loop_
_atom_site_label
_atom_site_type_symbol
_atom_site_fract_x
_atom_site_fract_y
_atom_site_fract_z
Sr1 Sr 0.000 0.000 0.000
In1 In 0.500 0.500 0.322
Ru1 Ru 0.000 0.000 0.555
Ru2 Ru 0.500 0.500 0.723
# DOS(E_F): 2.908 states/eV/cell
# E_tot: -24.31 eV for the cell shown

# TbBeO3 GGA-PBEsol optimized geometry
data_TbBeO3
_chemical_formula_sum 'Tb1 Be1 O3'
_symmetry_space_group_name_H-M 'P m -3 m'
_symmetry_Int_Tables_number 221
_symmetry_space_group_name_Hall '-P 4 2 3'
_cell_length_a 3.537
_cell_length_b 3.537
_cell_length_c 3.537
_cell_angle_alpha 90.00
_cell_angle_beta 90.00
_cell_angle_gamma 90.00
loop_
_atom_site_label
_atom_site_type_symbol
_atom_site_fract_x
_atom_site_fract_y
_atom_site_fract_z
Tb1 Tb 0.000 0.000 0.000
Be1 Be 0.500 0.500 0.500
O1 O 0.000 0.500 0.500
# DOS(E_F): 2.652 states/eV/cell
# E_tot: -37.62 eV for the cell shown
# Uncorrected formation energy: -12.865 eV per formula unit

# Er2C GGA-PBEsol optimized geometry
data_Er2C
_chemical_formula_sum 'Er6 C3'
_symmetry_space_group_name_H-M 'R -3 m'
_symmetry_Int_Tables_number 166
_symmetry_space_group_name_Hall '-R 3 2"'
_cell_length_a 3.5064
_cell_length_b 3.5064
_cell_length_c 17.9198
_cell_angle_alpha 90.00
_cell_angle_beta 90.00
_cell_angle_gamma 120.00
loop_
_atom_site_label
_atom_site_type_symbol
_atom_site_fract_x
_atom_site_fract_y
_atom_site_fract_z
Er1 Er 0.0000 0.0000 0.2404
C1 C 0.0000 0.0000 0.5000
# DOS(E_F): 6.466 states/eV/cell
# E_tot: -61.63 eV for the cell shown

# HfCrCuS4 GGA-PBEsol optimized geometry
data_HfCrCuS4
_chemical_formula_sum 'Hf4 Cr4 Cu4 S16'
_symmetry_space_group_name_H-M 'I m m a'
_symmetry_Int_Tables_number 74
_symmetry_space_group_name_Hall '-I 2b 2'
_cell_length_a 7.090
_cell_length_b 7.114
_cell_length_c 9.903
_cell_angle_alpha 90.00
_cell_angle_beta 90.00
_cell_angle_gamma 90.00
loop_
_atom_site_label
_atom_site_type_symbol
_atom_site_fract_x
_atom_site_fract_y
_atom_site_fract_z
Hf1 Hf 0.250 0.250 0.250
Cr1 Cr 0.000 0.000 0.000
Cu1 Cu 0.000 0.250 0.620
S1 S 0.000 0.001 0.242
S2 S 0.228 0.250 0.997
# DOS(E_F): 4.951 states/eV/cell
# E_tot: -198.93 eV for the cell shown
# Uncorrected formation energy: -7.117 eV per formula unit

# LiMn2O4 GGA-PBEsol optimized geometry
data_LiMn2O4
_chemical_formula_sum 'Li4 Mn8 O16'
_symmetry_space_group_name_H-M 'I m m a'
_symmetry_Int_Tables_number 74
_symmetry_space_group_name_Hall '-I 2b 2'
_cell_length_a 5.648
_cell_length_b 5.707
_cell_length_c 7.963
_cell_angle_alpha 90.00
_cell_angle_beta 90.00
_cell_angle_gamma 90.00
loop_
_atom_site_label
_atom_site_type_symbol
_atom_site_fract_x
_atom_site_fract_y
_atom_site_fract_z
Li1 Li 0.250 0.250 0.250
Mn1 Mn 0.000 0.000 0.000
Mn2 Mn 0.250 0.250 0.750
O1 O 0.000 0.020 0.761
O2 O 0.224 0.250 0.991
# DOS(E_F): 5.344 states/eV/cell
# E_tot: -219.76 eV for the cell shown
# Energy relative to the lowest polymorph listed for this composition: 0.070 eV per atom
# Uncorrected formation energy: -12.455 eV per formula unit

# Ba2SmCu3O6 GGA-PBEsol optimized geometry
data_Ba2SmCu3O6
_chemical_formula_sum 'Ba2 Sm1 Cu3 O6'
_symmetry_space_group_name_H-M 'P 4/m m m'
_symmetry_Int_Tables_number 123
_symmetry_space_group_name_Hall '-P 4 2'
_cell_length_a 3.854
_cell_length_b 3.854
_cell_length_c 11.877
_cell_angle_alpha 90.00
_cell_angle_beta 90.00
_cell_angle_gamma 90.00
loop_
_atom_site_label
_atom_site_type_symbol
_atom_site_fract_x
_atom_site_fract_y
_atom_site_fract_z
Ba1 Ba 0.000 0.000 0.195
Sm1 Sm 0.000 0.000 0.500
Cu1 Cu 0.500 0.500 0.000
Cu2 Cu 0.500 0.500 0.364
O1 O 0.000 0.500 0.375
O2 O 0.500 0.500 0.150
# DOS(E_F): 6.187 states/eV/cell
# E_tot: -76.71 eV for the cell shown
# Uncorrected formation energy: -22.826 eV per formula unit

# TmGe2 GGA-PBEsol optimized geometry
data_TmGe2
_chemical_formula_sum 'Tm4 Ge8'
_symmetry_space_group_name_H-M 'C m c m'
_symmetry_Int_Tables_number 63
_symmetry_space_group_name_Hall '-C 2c 2'
_cell_length_a 3.981
_cell_length_b 15.407
_cell_length_c 3.851
_cell_angle_alpha 90.00
_cell_angle_beta 90.00
_cell_angle_gamma 90.00
loop_
_atom_site_label
_atom_site_type_symbol
_atom_site_fract_x
_atom_site_fract_y
_atom_site_fract_z
Tm1 Tm 0.000 0.103 0.250
Ge1 Ge 0.000 0.252 0.750
Ge2 Ge 0.000 0.445 0.250
# DOS(E_F): 4.370 states/eV/cell
# E_tot: -67.15 eV for the cell shown

# Ca2TlSe GGA-PBEsol optimized geometry
data_Ca2TlSe
_chemical_formula_sum 'Ca4 Tl2 Se2'
_symmetry_space_group_name_H-M 'I m m 2'
_symmetry_Int_Tables_number 44
_cell_length_a 3.659
_cell_length_b 3.809
_cell_length_c 16.570
_cell_angle_alpha 90.00
_cell_angle_beta 90.00
_cell_angle_gamma 90.00
loop_
_symmetry_equiv_pos_as_xyz
'x,y,z'
'-x,-y,z'
'-x,y,z'
'x,-y,z'
'x+1/2,y+1/2,z+1/2'
'-x+1/2,-y+1/2,z+1/2'
'-x+1/2,y+1/2,z+1/2'
'x+1/2,-y+1/2,z+1/2'
loop_
_atom_site_label
_atom_site_type_symbol
_atom_site_fract_x
_atom_site_fract_y
_atom_site_fract_z
Ca1 Ca 0.000 0.000 0.000
Ca2 Ca 0.000 0.500 0.214
Tl1 Tl 0.000 0.500 0.836
Se1 Se 0.000 0.000 0.577
# DOS(E_F): 5.643 states/eV/cell
# E_tot: -29.37 eV for the cell shown
# Energy relative to the lowest polymorph listed for this composition: 0.000 eV per atom
# Uncorrected formation energy: -3.938 eV per formula unit

# NaTa2BeC GGA-PBEsol optimized geometry
data_NaTa2BeC
_chemical_formula_sum 'Na1 Ta2 Be1 C1'
_symmetry_space_group_name_H-M 'P 4/m m m'
_symmetry_Int_Tables_number 123
_symmetry_space_group_name_Hall '-P 4 2'
_cell_length_a 4.314
_cell_length_b 4.314
_cell_length_c 4.178
_cell_angle_alpha 90.00
_cell_angle_beta 90.00
_cell_angle_gamma 90.00
loop_
_atom_site_label
_atom_site_type_symbol
_atom_site_fract_x
_atom_site_fract_y
_atom_site_fract_z
Na1 Na 0.000 0.000 0.000
Ta1 Ta 0.000 0.500 0.500
Be1 Be 0.000 0.000 0.500
C1 C 0.500 0.500 0.000
# DOS(E_F): 3.028 states/eV/cell
# E_tot: -29.72 eV for the cell shown

# ZrCd2Hg GGA-PBEsol optimized geometry
data_ZrCd2Hg
_chemical_formula_sum 'Zr1 Cd2 Hg1'
_symmetry_space_group_name_H-M 'P 1 2/m 1'
_symmetry_Int_Tables_number 10
_cell_length_a 3.017
_cell_length_b 4.723
_cell_length_c 5.872
_cell_angle_alpha 90.00
_cell_angle_beta 98.73
_cell_angle_gamma 90.00
loop_
_symmetry_equiv_pos_as_xyz
'x,y,z'
'-x,-y,-z'
'-x,y,-z'
'x,-y,z'
loop_
_atom_site_label
_atom_site_type_symbol
_atom_site_fract_x
_atom_site_fract_y
_atom_site_fract_z
Zr1 Zr 0.000 0.000 0.000
Cd1 Cd 0.390 0.500 0.755
Hg1 Hg 0.500 0.000 0.500
# DOS(E_F): 1.767 states/eV/cell
# E_tot: -12.44 eV for the cell shown

# YHo3 GGA-PBEsol optimized geometry
data_YHo3
_chemical_formula_sum 'Y2 Ho6'
_symmetry_space_group_name_H-M 'P 63/m m c'
_symmetry_Int_Tables_number 194
_symmetry_space_group_name_Hall '-P 6c 2c'
_cell_length_a 7.0846
_cell_length_b 7.0846
_cell_length_c 5.5170
_cell_angle_alpha 90.00
_cell_angle_beta 90.00
_cell_angle_gamma 120.00
loop_
_atom_site_label
_atom_site_type_symbol
_atom_site_fract_x
_atom_site_fract_y
_atom_site_fract_z
Y1 Y 0.3333 0.6667 0.2500
Ho1 Ho 0.1660 0.3319 0.7500
# DOS(E_F): 13.993 states/eV/cell
# E_tot: -43.26 eV for the cell shown
# Energy relative to the lowest polymorph listed for this composition: 0.000 eV per atom

# CdH2Rh2 GGA-PBEsol optimized geometry
data_CdH2Rh2
_chemical_formula_sum 'Cd2 H4 Rh4'
_symmetry_space_group_name_H-M 'I 4/m m m'
_symmetry_Int_Tables_number 139
_symmetry_space_group_name_Hall '-I 4 2'
_cell_length_a 3.078
_cell_length_b 3.078
_cell_length_c 10.860
_cell_angle_alpha 90.00
_cell_angle_beta 90.00
_cell_angle_gamma 90.00
loop_
_atom_site_label
_atom_site_type_symbol
_atom_site_fract_x
_atom_site_fract_y
_atom_site_fract_z
Cd1 Cd 0.000 0.000 0.000
H1 H 0.000 0.500 0.250
Rh1 Rh 0.000 0.000 0.342
# DOS(E_F): 6.291 states/eV/cell
# E_tot: -48.98 eV for the cell shown

# CdIn4Br GGA-PBEsol optimized geometry
data_CdIn4Br
_chemical_formula_sum 'Cd4 In16 Br4'
_symmetry_space_group_name_H-M 'F -4 3 m'
_symmetry_Int_Tables_number 216
_symmetry_space_group_name_Hall 'F -4 2 3'
_cell_length_a 8.672
_cell_length_b 8.672
_cell_length_c 8.672
_cell_angle_alpha 90.00
_cell_angle_beta 90.00
_cell_angle_gamma 90.00
loop_
_atom_site_label
_atom_site_type_symbol
_atom_site_fract_x
_atom_site_fract_y
_atom_site_fract_z
Cd1 Cd 0.000 0.000 0.000
In1 In 0.125 0.125 0.375
Br1 Br 0.250 0.250 0.750
# DOS(E_F): 8.324 states/eV/cell
# E_tot: -59.30 eV for the cell shown
# Uncorrected formation energy: 0.174 eV per formula unit

# NbGeSb GGA-PBEsol optimized geometry
data_NbGeSb
_chemical_formula_sum 'Nb2 Ge2 Sb2'
_symmetry_space_group_name_H-M 'P 4/n m m'
_symmetry_Int_Tables_number 129
_cell_length_a 3.701
_cell_length_b 3.701
_cell_length_c 8.202
_cell_angle_alpha 90.00
_cell_angle_beta 90.00
_cell_angle_gamma 90.00
loop_
_symmetry_equiv_pos_as_xyz
'x,y,z'
'-x,-y,-z'
'-y+1/2,x,z'
'y+1/2,-x,-z'
'-x+1/2,-y+1/2,z'
'x+1/2,y+1/2,-z'
'y,-x+1/2,z'
'-y,x+1/2,-z'
'x+1/2,-y,-z'
'-x+1/2,y,z'
'-y,-x,-z'
'y,x,z'
'-x,y+1/2,-z'
'x,-y+1/2,z'
'y+1/2,x+1/2,-z'
'-y+1/2,-x+1/2,z'
loop_
_atom_site_label
_atom_site_type_symbol
_atom_site_fract_x
_atom_site_fract_y
_atom_site_fract_z
Nb1 Nb 0.250 0.250 0.246
Ge1 Ge 0.250 0.750 0.000
Sb1 Sb 0.250 0.250 0.613
# DOS(E_F): 1.458 states/eV/cell
# E_tot: -43.14 eV for the cell shown
# Uncorrected formation energy: -1.255 eV per formula unit

# KScMo2O8 GGA-PBEsol optimized geometry
data_KScMo2O8
_chemical_formula_sum 'K1 Sc1 Mo2 O8'
_symmetry_space_group_name_H-M 'P -3 m 1'
_symmetry_Int_Tables_number 164
_symmetry_space_group_name_Hall '-P 3 2"'
_cell_length_a 5.7814
_cell_length_b 5.7814
_cell_length_c 7.1690
_cell_angle_alpha 90.00
_cell_angle_beta 90.00
_cell_angle_gamma 120.00
loop_
_atom_site_label
_atom_site_type_symbol
_atom_site_fract_x
_atom_site_fract_y
_atom_site_fract_z
K1 K 0.0000 0.0000 0.0000
Sc1 Sc 0.0000 0.0000 0.5000
Mo1 Mo 0.3333 0.6667 0.7550
O1 O 0.1650 0.3299 0.6764
O2 O 0.3333 0.6667 0.9946
# DOS(E_F): 0.000 states/eV/cell
# E_tot: -102.09 eV for the cell shown
# Uncorrected formation energy: -28.821 eV per formula unit

# Cr2NiIr GGA-PBEsol optimized geometry
data_Cr2NiIr
_chemical_formula_sum 'Cr2 Ni1 Ir1'
_symmetry_space_group_name_H-M 'P m m 2'
_symmetry_Int_Tables_number 25
_cell_length_a 2.590
_cell_length_b 4.064
_cell_length_c 4.475
_cell_angle_alpha 90.00
_cell_angle_beta 90.00
_cell_angle_gamma 90.00
loop_
_symmetry_equiv_pos_as_xyz
'x,y,z'
'-x,-y,z'
'-x,y,z'
'x,-y,z'
loop_
_atom_site_label
_atom_site_type_symbol
_atom_site_fract_x
_atom_site_fract_y
_atom_site_fract_z
Cr1 Cr 0.000 0.000 0.000
Cr2 Cr 0.000 0.500 0.327
Ni1 Ni 0.500 0.000 0.476
Ir1 Ir 0.500 0.500 0.822
# DOS(E_F): 3.984 states/eV/cell
# E_tot: -36.84 eV for the cell shown

# HfAuS2 GGA-PBEsol optimized geometry
data_HfAuS2
_chemical_formula_sum 'Hf4 Au4 S8'
_symmetry_space_group_name_H-M 'I -4 2 d'
_symmetry_Int_Tables_number 122
_symmetry_space_group_name_Hall 'I -4 2bw'
_cell_length_a 5.803
_cell_length_b 5.803
_cell_length_c 10.672
_cell_angle_alpha 90.00
_cell_angle_beta 90.00
_cell_angle_gamma 90.00
loop_
_atom_site_label
_atom_site_type_symbol
_atom_site_fract_x
_atom_site_fract_y
_atom_site_fract_z
Hf1 Hf 0.000 0.000 0.000
Au1 Au 0.000 0.000 0.500
S1 S 0.242 0.250 0.125
# DOS(E_F): 11.439 states/eV/cell
# E_tot: -101.78 eV for the cell shown
# Uncorrected formation energy: -2.249 eV per formula unit